Entry from the Alexandria database: a relaxed structure of SiSNF2 (GGA-PBE).

Computed properties:
For the spin magnetization, the calculation gives 0.00 μB per formula unit. The value obtained for the uncorrected formation energy is 0.265 eV/atom. The density of states at the Fermi level is 1.572 states/eV/f.u. For the energy above the most stable polymorph in this dataset, the calculation gives 328 kJ/mol of formula units. Its crystal system is tetragonal. The volume is 72.8 Å³ per cell.

a b c (Å): 4.736 4.736 3.246
angles (deg): 90.00 90.00 90.00
Space group P4/mmm (No. 123)
Inequivalent atoms, fractional coordinates:
1 Si 0.000 0.000 0.000 x1
2 S 0.500 0.500 0.500 x1
3 N 0.500 0.500 0.000 x1
4 F 0.000 0.500 0.500 x2